# Dy3B5O12, relaxed, DFT PBE-GGA
data_Dy3B5O12
_symmetry_space_group_name_H-M 'I a -3 d'
_symmetry_Int_Tables_number 230
_symmetry_space_group_name_Hall '-I 4bd 2c 3'
_cell_length_a 11.175
_cell_length_b 11.175
_cell_length_c 11.175
_cell_angle_alpha 90.00
_cell_angle_beta 90.00
_cell_angle_gamma 90.00
loop_
_atom_site_label
_atom_site_type_symbol
_atom_site_fract_x
_atom_site_fract_y
_atom_site_fract_z
Dy1 Dy 0.000 0.250 0.125
B1 B 0.000 0.000 0.000
B2 B 0.000 0.250 0.375
O1 O 0.040 0.043 0.650
# Formation energy from raw total energies   -4549 kJ/mol of formula units
# Calculated total energy   -7.69 eV per atom


# Dy12B3O5, relaxed, DFT PBE-GGA
data_Dy12B3O5
_symmetry_space_group_name_H-M 'I a -3 d'
_symmetry_Int_Tables_number 230
_symmetry_space_group_name_Hall '-I 4bd 2c 3'
_cell_length_a 14.730
_cell_length_b 14.730
_cell_length_c 14.730
_cell_angle_alpha 90.00
_cell_angle_beta 90.00
_cell_angle_gamma 90.00
loop_
_atom_site_label
_atom_site_type_symbol
_atom_site_fract_x
_atom_site_fract_y
_atom_site_fract_z
Dy1 Dy 0.031 0.059 0.653
B1 B 0.000 0.250 0.125
O1 O 0.000 0.000 0.000
O2 O 0.000 0.250 0.375
# Formation energy from raw total energies   -2624 kJ/mol of formula units
# Calculated total energy   -6.36 eV per atom


# Dy4B6O15, relaxed, DFT PBE-GGA
data_Dy4B6O15
_symmetry_space_group_name_H-M 'C 1 2/c 1'
_symmetry_Int_Tables_number 15
_cell_length_a 11.752
_cell_length_b 4.405
_cell_length_c 18.969
_cell_angle_alpha 90.00
_cell_angle_beta 96.49
_cell_angle_gamma 90.00
loop_
_symmetry_equiv_pos_as_xyz
'x,y,z'
'-x,-y,-z'
'-x,y,-z+1/2'
'x,-y,z+1/2'
'x+1/2,y+1/2,z'
'-x+1/2,-y+1/2,-z'
'-x+1/2,y+1/2,-z+1/2'
'x+1/2,-y+1/2,z+1/2'
loop_
_atom_site_label
_atom_site_type_symbol
_atom_site_fract_x
_atom_site_fract_y
_atom_site_fract_z
Dy1 Dy 0.133 0.199 0.099
Dy2 Dy 0.137 0.210 0.303
B1 B 0.067 0.273 0.694
B2 B 0.098 0.294 0.912
B3 B 0.170 0.192 0.474
O1 O 0.000 0.134 0.750
O2 O 0.013 0.177 0.622
O3 O 0.065 0.401 0.197
O4 O 0.086 0.374 0.430
O5 O 0.128 0.119 0.978
O6 O 0.181 0.134 0.703
O7 O 0.181 0.259 0.861
O8 O 0.208 0.296 0.549
# Formation energy from raw total energies   -7131 kJ/mol of formula units
# Calculated total energy   -8.27 eV per atom


# DyBO3, relaxed, DFT PBE-GGA
data_DyBO3
_symmetry_space_group_name_H-M 'C 1 c 1'
_symmetry_Int_Tables_number 9
_cell_length_a 4.903
_cell_length_b 8.472
_cell_length_c 5.038
_cell_angle_alpha 90.00
_cell_angle_beta 96.96
_cell_angle_gamma 90.00
loop_
_symmetry_equiv_pos_as_xyz
'x,y,z'
'x,-y,z+1/2'
'x+1/2,y+1/2,z'
'x+1/2,-y+1/2,z+1/2'
loop_
_atom_site_label
_atom_site_type_symbol
_atom_site_fract_x
_atom_site_fract_y
_atom_site_fract_z
Dy1 Dy 0.000 0.176 0.000
B1 B 0.005 0.475 0.363
O1 O 0.200 0.486 0.144
O2 O 0.289 0.085 0.345
O3 O 0.428 0.190 0.875
# Formation energy from raw total energies   -1420 kJ/mol of formula units
# Calculated total energy   -8.17 eV per atom


# DyPaB2O8, relaxed, DFT PBE-GGA
data_DyPaB2O8
_symmetry_space_group_name_H-M 'I -4'
_symmetry_Int_Tables_number 82
_cell_length_a 4.679
_cell_length_b 4.679
_cell_length_c 11.122
_cell_angle_alpha 90.00
_cell_angle_beta 90.00
_cell_angle_gamma 90.00
loop_
_symmetry_equiv_pos_as_xyz
'x,y,z'
'y,-x,-z'
'-x,-y,z'
'-y,x,-z'
'x+1/2,y+1/2,z+1/2'
'y+1/2,-x+1/2,-z+1/2'
'-x+1/2,-y+1/2,z+1/2'
'-y+1/2,x+1/2,-z+1/2'
loop_
_atom_site_label
_atom_site_type_symbol
_atom_site_fract_x
_atom_site_fract_y
_atom_site_fract_z
Dy1 Dy 0.000 0.000 0.000
Pa1 Pa 0.000 0.500 0.750
B1 B 0.000 0.000 0.500
B2 B 0.000 0.500 0.250
O1 O 0.112 0.243 0.573
O2 O 0.120 0.745 0.182
# Formation energy from raw total energies   -3006 kJ/mol of formula units
# Calculated total energy   -8.19 eV per atom


# DyB2PbO6, relaxed, DFT PBE-GGA
data_DyB2PbO6
_symmetry_space_group_name_H-M 'C 1 2/c 1'
_symmetry_Int_Tables_number 15
_cell_length_a 8.069
_cell_length_b 10.220
_cell_length_c 6.617
_cell_angle_alpha 90.00
_cell_angle_beta 106.43
_cell_angle_gamma 90.00
loop_
_symmetry_equiv_pos_as_xyz
'x,y,z'
'-x,-y,-z'
'-x,y,-z+1/2'
'x,-y,z+1/2'
'x+1/2,y+1/2,z'
'-x+1/2,-y+1/2,-z'
'-x+1/2,y+1/2,-z+1/2'
'x+1/2,-y+1/2,z+1/2'
loop_
_atom_site_label
_atom_site_type_symbol
_atom_site_fract_x
_atom_site_fract_y
_atom_site_fract_z
Dy1 Dy 0.000 0.082 0.250
B1 B 0.249 0.345 0.255
Pb1 Pb 0.000 0.399 0.750
O1 O 0.111 0.094 0.608
O2 O 0.126 0.424 0.119
O3 O 0.229 0.211 0.244
# Formation energy from raw total energies   -2294 kJ/mol of formula units
# Calculated total energy   -7.52 eV per atom


What is the formation energy from raw total energies in the fifth record?
-3006 kJ/mol of formula units


Which value of formation energy from raw total energies does entry 3 give?
-7131 kJ/mol of formula units


Which value of formation energy from raw total energies does entry 1 give?
-4549 kJ/mol of formula units